A relaxed CsSiBH2 crystal. Source: the Alexandria database, functional PBE.

Lattice parameters (Å, degrees): 4.864 4.864 3.701 90.00 90.00 90.00
Space group P4/mmm (No. 123)
Asymmetric unit:
Cs (0.000, 0.000, 0.000) x1
Si (0.500, 0.500, 0.000) x1
B (0.500, 0.500, 0.500) x1
H (0.000, 0.500, 0.500) x2

For the total energy, the calculation gives -2.966 eV/atom. The magnetic moment comes out at 0.0 μB/cell. Its mass density is 3.297 g cm⁻³.

***

A relaxed KPSeN2 crystal. Source: the Alexandria database, functional PBE.

Lattice parameters (Å, degrees): 3.888 3.888 4.985 90.00 90.00 90.00
Space group P4/mmm (No. 123)
Asymmetric unit:
K (0.000, 0.000, 0.000) x1
P (0.500, 0.500, 0.500) x1
Se (0.500, 0.500, 0.000) x1
N (0.000, 0.500, 0.500) x2

Its uncorrected formation energy is 1.00 eV/atom. The magnetic moment comes out at 1.4 μB/cell. Its mass density is 3.902 g cm⁻³.

***

A relaxed Ca3HoTm2Te6 crystal. Source: the Alexandria database, functional PBE.

Lattice parameters (Å, degrees): 7.579 13.112 7.707 90.00 109.16 90.00
Space group C2/m (No. 12)
Asymmetric unit:
Ca (0.000, 0.000, 0.000) x2
Ca (0.000, 0.334, 0.000) x4
Ho (0.000, 0.500, 0.500) x2
Tm (0.000, 0.167, 0.500) x4
Te (0.245, 0.000, 0.741) x4
Te (0.248, 0.332, 0.742) x8

Its uncorrected formation energy is -1.42 eV/atom. The magnetic moment comes out at 0.0 μB/cell. Its mass density is 6.375 g cm⁻³.